# CoTcSe2 (PBE, relaxed)
data_CoTcSe2
_symmetry_space_group_name_H-M 'F m m m'
_symmetry_Int_Tables_number 69
_symmetry_space_group_name_Hall '-F 2 2'
_cell_length_a 5.7848
_cell_length_b 6.0836
_cell_length_c 7.6747
_cell_angle_alpha 90.00
_cell_angle_beta 90.00
_cell_angle_gamma 90.00
loop_
_atom_site_label
_atom_site_type_symbol
_atom_site_fract_x
_atom_site_fract_y
_atom_site_fract_z
Co1 Co 0.0000 0.0000 0.0000
Tc1 Tc 0.0000 0.0000 0.5000
Se1 Se 0.0000 0.2500 0.2500
# offset from the most stable computed form	0.7941	eV/atom
# formation energy without anion corrections	0.52	eV/atom